# BaZnPO

A geometry-optimized BaZnPO structure (PBE-GGA, the Open Quantum Materials Database).

Summary:
Calculated total energy   -4.55 eV per atom

Cell: 4.014 6.993 5.980 Å, 90.00 90.00 90.00°
Sites, in units of the cell vectors:
P1 0.000 0.598 0.002
P2 0.000 0.402 0.502
Zn1 0.500 0.216 0.500
Zn2 0.500 0.784 0.000
Ba1 0.000 0.159 0.000
Ba2 0.000 0.841 0.500
O1 0.500 0.999 0.751
O2 0.500 0.001 0.251



# BaZnPO

A geometry-optimized BaZnPO structure (PBE-GGA, the Open Quantum Materials Database).

Summary:
Calculated total energy   -3.44 eV per atom

Cell: 4.602 4.602 9.145 Å, 90.00 90.00 90.00°
Sites, in units of the cell vectors:
Ba1 0.000 0.000 0.500
Ba2 0.500 0.500 0.500
P1 0.000 0.500 0.710
P2 0.500 0.000 0.290
O1 0.000 0.000 0.000
O2 0.500 0.500 0.000
Zn1 0.500 0.000 0.028
Zn2 0.000 0.500 0.972



# BaZnPO

A geometry-optimized BaZnPO structure (PBE-GGA, the Open Quantum Materials Database).

Summary:
Calculated total energy   -4.43 eV per atom

Cell: 3.371 6.657 7.569 Å, 90.00 90.00 90.00°
Sites, in units of the cell vectors:
P1 0.500 0.084 0.771
P2 0.500 0.916 0.271
O1 0.000 0.641 0.923
O2 0.000 0.359 0.423
Ba1 0.000 0.693 0.585
Ba2 0.000 0.307 0.085
Zn1 0.500 0.201 0.475
Zn2 0.500 0.799 0.975



# BaZnPO

A geometry-optimized BaZnPO structure (PBE-GGA, the Open Quantum Materials Database).

Summary:
Calculated total energy   -4.43 eV per atom

Cell: 4.202 4.202 9.874 Å, 90.00 90.00 90.00°
Sites, in units of the cell vectors:
Zn1 0.500 0.500 0.500
Zn2 0.000 0.000 0.500
Ba1 0.500 0.000 0.857
Ba2 0.000 0.500 0.143
O1 0.000 0.000 0.000
O2 0.500 0.500 0.000
P1 0.500 0.000 0.366
P2 0.000 0.500 0.634



# BaZn2P2O8

A geometry-optimized BaZn2P2O8 structure (PBE-GGA, the Open Quantum Materials Database).

Summary:
Excess energy over the best structure of this formula in the dataset   0.861 eV/f.u.

Cell: 8.093 8.093 8.093 Å, 34.89 34.89 34.89°
Sites, in units of the cell vectors:
P1 0.577 0.577 0.577
P2 0.423 0.423 0.423
Zn1 0.828 0.828 0.828
Zn2 0.172 0.172 0.172
O1 0.758 0.432 0.147
O2 0.356 0.356 0.356
O3 0.242 0.568 0.853
O4 0.644 0.644 0.644
O5 0.568 0.853 0.242
O6 0.432 0.147 0.758
O7 0.853 0.242 0.568
O8 0.147 0.758 0.432
Ba1 0.000 0.000 0.000



# BaZn2P2O8

A geometry-optimized BaZn2P2O8 structure (PBE-GGA, the Open Quantum Materials Database).

Summary:
Excess energy over the best structure of this formula in the dataset   0.000 eV/f.u.

Cell: 8.562 9.752 9.040 Å, 90.00 91.52 90.00°
Sites, in units of the cell vectors:
O1 0.548 0.368 0.126
O2 0.725 0.924 0.311
O3 0.086 0.191 0.959
O4 0.800 0.349 0.498
O5 0.444 0.195 0.882
O6 0.556 0.805 0.118
O7 0.452 0.632 0.874
O8 0.000 0.115 0.208
O9 0.556 0.695 0.618
O10 0.941 0.144 0.619
O11 0.509 0.949 0.810
O12 0.086 0.309 0.459
O13 0.275 0.076 0.689
O14 0.000 0.385 0.708
O15 0.000 0.885 0.792
O16 0.914 0.809 0.041
O17 0.275 0.424 0.189
O18 0.059 0.644 0.881
O19 0.509 0.551 0.310
O20 0.491 0.449 0.690
O21 0.914 0.691 0.541
O22 0.800 0.151 0.998
O23 0.941 0.356 0.119
O24 0.444 0.305 0.382
O25 0.200 0.849 0.002
O26 0.000 0.615 0.292
O27 0.548 0.132 0.626
O28 0.725 0.576 0.811
O29 0.452 0.868 0.374
O30 0.059 0.856 0.381
O31 0.491 0.051 0.190
O32 0.200 0.651 0.502
Zn1 0.413 0.681 0.444
Zn2 0.926 0.926 0.212
Zn3 0.587 0.319 0.556
Zn4 0.074 0.074 0.788
Zn5 0.926 0.574 0.712
Zn6 0.413 0.819 0.944
Zn7 0.074 0.426 0.288
Zn8 0.587 0.181 0.056
P1 0.557 0.911 0.244
P2 0.048 0.796 0.929
P3 0.048 0.704 0.429
P4 0.557 0.589 0.744
P5 0.952 0.296 0.571
P6 0.443 0.411 0.256
P7 0.952 0.204 0.071
P8 0.443 0.089 0.756
Ba1 0.746 0.584 0.109
Ba2 0.254 0.416 0.891
Ba3 0.254 0.084 0.391
Ba4 0.746 0.916 0.609